Compound: Sr2AuF6
Source: Alexandria
Functional: PBE-GGA
Structure: relaxed

## Properties
Formation energy without anion corrections, eV/atom: -2.800
Symmetry: P4_2/mnm
Final energy, eV/cell: -86.14

Lattice parameters (Å, degrees): 5.344 5.344 11.807 90.00 90.00 90.00
Fractional positions:
Sr1 0.000 0.000 0.166
Sr2 0.000 0.000 0.834
Sr3 0.500 0.500 0.334
Sr4 0.500 0.500 0.666
Au1 0.000 0.000 0.500
Au2 0.500 0.500 0.000
F1 0.185 0.185 0.332
F2 0.185 0.185 0.668
F3 0.216 0.216 0.000
F4 0.284 0.716 0.500
F5 0.315 0.685 0.168
F6 0.315 0.685 0.832
F7 0.685 0.315 0.168
F8 0.685 0.315 0.832
F9 0.716 0.284 0.500
F10 0.784 0.784 0.000
F11 0.815 0.815 0.332
F12 0.815 0.815 0.668